The following is a DFT calculation (PBE-GGA) of a relaxed ScGeRh3 crystal.

Unit cell a=4.6332 b=4.6332 c=4.6332 alpha=90.00 beta=90.00 gamma=90.00
Atoms (fractional coordinates):
Sc 0.0000 0.0000 0.0000
Ge 0.5000 0.5000 0.5000
Rh 0.0000 0.0000 0.5000
Rh 0.0000 0.5000 0.0000
Rh 0.5000 0.0000 0.0000

Calculated values
energy above the most stable polymorph in this dataset = 1.342 eV/atom
theoretical density = 7.1 Mg/m³
final energy = -5.820 eV per atom
energy of formation = 780 meV/atom